Compound: CdIn2Fe
Source: the Alexandria database
Functional: PBEsol
Structure: relaxed

The structure belongs to space group I-4m2 (No. 119); the cell edges are 4.1006, 4.1006 and 8.8964 Å and the angles 90.00°, 90.00° and 90.00°. Symmetry generates all atoms from Cd at (0.0000, 0.0000, 0.0000), In at (0.0000, 0.0000, 0.5000), In at (0.0000, 0.5000, 0.7500) and Fe at (0.0000, 0.5000, 0.2500).

The crystal system is tetragonal. As for the total energy: -3.74 eV/atom. The calculation puts the density of states at the Fermi level at 0.566 states/eV/atom. The energy of formation is 28.5 kJ per mole of atoms.